Record 1
The following is a DFT calculation (PBE) of a relaxed AlBiPd crystal.

total DFT energy (no corrections) = -13.34 eV per formula unit
SG = No. 38

abc: 3.4603 3.4698 12.4002
angles: 90.00 90.00 119.91
Sites, in units of the cell vectors:
Pd (0.4437, 0.8874, 0.0000)
Pd (0.4449, 0.8899, 0.5000)
Al (0.7778, 0.5556, 0.3731)
Al (0.7778, 0.5556, 0.6269)
Bi (0.1112, 0.2224, 0.8329)
Bi (0.1112, 0.2224, 0.1671)

***

Record 2
The following is a DFT calculation (PBE) of a relaxed AlBiPd4 crystal.

total DFT energy (no corrections) = -31.07 eV per formula unit
SG = No. 53

abc: 4.6763 5.3268 8.4390
angles: 90.00 89.99 90.00
Sites, in units of the cell vectors:
Al (0.5000, 0.0000, 0.5000)
Al (0.0000, 0.5000, 0.5000)
Bi (0.0000, 0.0000, 0.0000)
Bi (0.5000, 0.5000, 0.0000)
Pd (0.9997, 0.5769, 0.1997)
Pd (0.5003, 0.0769, 0.8003)
Pd (0.4997, 0.4055, 0.3486)
Pd (0.0003, 0.9055, 0.6514)
Pd (0.0003, 0.4231, 0.8003)
Pd (0.4997, 0.9231, 0.1997)
Pd (0.5003, 0.5945, 0.6514)
Pd (0.9997, 0.0945, 0.3486)

***

Record 3
The following is a DFT calculation (PBE) of a relaxed AlBi2PdS crystal.

ΔE_f (raw) = 223 kJ/mol of formula units
SG = No. 123

abc: 5.3388 4.6142 5.3388
angles: 90.00 90.00 90.00
Sites, in units of the cell vectors:
S (0.0000, 0.0000, 0.0000)
Bi (0.0000, 0.0000, 0.5000)
Bi (0.5000, 0.0000, 0.0000)
Pd (0.5000, 0.5000, 0.5000)
Al (0.0000, 0.5000, 0.0000)

***

Record 4
The following is a DFT calculation (PBE) of a relaxed AlBiPdSe2 crystal.

ΔE_f (raw) = 170 kJ/mol of formula units
SG = No. 123

abc: 4.9065 5.5382 4.9065
angles: 90.00 90.00 90.00
Sites, in units of the cell vectors:
Se (0.0000, 0.0000, 0.5000)
Se (0.5000, 0.0000, 0.0000)
Bi (0.0000, 0.5000, 0.0000)
Pd (0.0000, 0.0000, 0.0000)
Al (0.5000, 0.5000, 0.5000)

***

no.,calculated volume (Å³/cell)
1,129
2,210
3,132
4,133